[1]
# Tb2NdZr PBE-GGA optimized geometry
# ΔE_f = 92 kJ/mol of formula units
# calculated total energy = -86.510 eV per cell
# DOS at the Fermi energy = 33.10 states/eV/cell
data_Tb2NdZr
_chemical_formula_sum 'Tb8 Nd4 Zr4'
_cell_length_a 7.8421
_cell_length_b 7.8421
_cell_length_c 7.8421
_cell_angle_alpha 90.00
_cell_angle_beta 90.00
_cell_angle_gamma 90.00
_space_group_name_H-M_alt 'F m -3 m'
_space_group_IT_number 225
_space_group_name_Hall '-F 4 2 3'
loop_
_atom_site_label
_atom_site_type_symbol
_atom_site_fract_x
_atom_site_fract_y
_atom_site_fract_z
Tb1 Tb 0.2500 0.2500 0.2500
Nd1 Nd 0.0000 0.0000 0.0000
Zr1 Zr 0.0000 0.0000 0.5000

[2]
# Pm2Pr8Sc PBE-GGA optimized geometry
# ΔE_f = 167 kJ/mol of formula units
# calculated total energy = -104.666 eV per cell
# DOS at the Fermi energy = 35.89 states/eV/cell
data_Pm2Pr8Sc
_chemical_formula_sum 'Pm4 Pr16 Sc2'
_cell_length_a 16.7513
_cell_length_b 6.9296
_cell_length_c 6.8296
_cell_angle_alpha 90.00
_cell_angle_beta 103.07
_cell_angle_gamma 90.00
_space_group_name_H-M_alt 'C 1 2/m 1'
_space_group_IT_number 12
_space_group_name_Hall '-C 2y'
loop_
_atom_site_label
_atom_site_type_symbol
_atom_site_fract_x
_atom_site_fract_y
_atom_site_fract_z
Pm1 Pm 0.1828 0.0000 0.3129
Pr1 Pr 0.0789 0.2589 0.8881
Pr2 Pr 0.0979 0.5000 0.4252
Pr3 Pr 0.2448 0.0000 0.8324
Sc1 Sc 0.0000 0.0000 0.5000

[3]
# Li8HN2 PBE-GGA optimized geometry
# calculated total energy = -76.288 eV per cell
# DOS at the Fermi energy = 2.66 states/eV/cell
data_Li8HN2
_chemical_formula_sum 'Li16 H2 N4'
_cell_length_a 13.3788
_cell_length_b 3.2402
_cell_length_c 5.5372
_cell_angle_alpha 90.00
_cell_angle_beta 97.18
_cell_angle_gamma 90.00
_space_group_name_H-M_alt 'C 1 2/m 1'
_space_group_IT_number 12
_space_group_name_Hall '-C 2y'
loop_
_atom_site_label
_atom_site_type_symbol
_atom_site_fract_x
_atom_site_fract_y
_atom_site_fract_z
Li1 Li 0.0444 0.0000 0.3158
Li2 Li 0.1169 0.5000 0.0531
Li3 Li 0.1876 0.5000 0.4719
Li4 Li 0.2203 0.0000 0.8551
H1 H 0.0000 0.5000 0.5000
N1 N 0.1900 0.0000 0.2256

[4]
# YHoCo PBE-GGA optimized geometry
# ΔE_f = -34 kJ/mol of formula units
# calculated total energy = -73.996 eV per cell
# DOS at the Fermi energy = 8.28 states/eV/cell
data_YHoCo
_chemical_formula_sum 'Y4 Ho4 Co4'
_cell_length_a 13.0606
_cell_length_b 3.3653
_cell_length_c 6.7352
_cell_angle_alpha 90.00
_cell_angle_beta 104.95
_cell_angle_gamma 90.00
_space_group_name_H-M_alt 'C 1 2/m 1'
_space_group_IT_number 12
_space_group_name_Hall '-C 2y'
loop_
_atom_site_label
_atom_site_type_symbol
_atom_site_fract_x
_atom_site_fract_y
_atom_site_fract_z
Y1 Y 0.1288 0.0000 0.0644
Ho1 Ho 0.1277 0.0000 0.5639
Co1 Co 0.0000 0.5000 0.2551